5
Lattice="3.611 0.000 0.000 0.000 3.611 0.000 0.000 0.000 3.611" Properties=species:S:1:pos:R:3 comment="GGA-PBE NaNbH3, optimized geometry" space_group="Pm-3m, No. 221" relative_energy_mev_per_atom=660 pbc="T T T"
Nb 1.805 1.805 1.805
H 0.000 0.000 1.805
H 0.000 1.805 0.000
H 1.805 0.000 0.000
Na 0.000 0.000 0.000

4
Lattice="5.366 0.000 0.000 2.683 4.647 0.000 2.683 1.549 4.382" Properties=species:S:1:pos:R:3 comment="GGA-PBE NdYLuZn, optimized geometry" space_group="F-43m, No. 216" formation_enthalpy_0k_ev_per_atom=0.013 pbc="T T T"
Y 8.049 4.647 3.286
Nd 2.683 1.549 1.095
Zn 0.000 0.000 0.000
Lu 5.366 3.098 2.191

12
Lattice="-1.125 -5.465 0.472 5.121 -0.573 5.633 -8.115 4.770 2.705" Properties=species:S:1:pos:R:3 comment="GGA-PBE Pr3HoCd2, optimized geometry" space_group="C2/m, No. 12" formation_enthalpy_0k_ev_per_atom=-0.168 relative_energy_mev_per_atom=21 pbc="T T T"
Cd -4.185 1.198 3.939
Pr 0.718 -2.876 1.644
Pr 3.278 -3.162 4.460
Pr -5.817 -1.451 2.567
Ho 2.560 -0.286 2.816
Cd -2.494 -2.179 2.054
Cd 0.066 -2.466 4.871
Pr -0.863 0.469 3.426
Cd -1.625 0.911 6.755
Pr 1.697 0.183 6.242
Ho 0.000 0.000 0.000
Pr -3.256 -1.737 5.383

11
Lattice="5.980 -0.264 -1.219 -2.646 7.236 -4.779 -0.260 -1.778 8.886" Properties=species:S:1:pos:R:3 comment="GGA-PBE Sm8NiAu2, optimized geometry" space_group="Cm, No. 8" formation_enthalpy_0k_ev_per_atom=-0.287 relative_energy_mev_per_atom=43 pbc="T T T"
Au 0.851 4.701 -1.640
Sm -0.032 1.423 0.944
Sm 2.745 2.400 -1.221
Sm 3.667 5.203 -3.258
Au 1.945 0.567 4.626
Sm 3.299 0.307 1.951
Sm -0.048 2.849 4.177
Sm 2.536 3.813 2.072
Sm 5.109 -0.242 4.997
Ni 1.771 -0.043 -0.338
Sm -0.593 4.910 1.053

3
Lattice="3.784 0.000 0.000 -1.892 3.277 0.000 0.000 0.000 6.150" Properties=species:S:1:pos:R:3 comment="GGA-PBE PuThU, optimized geometry" space_group="P3m1, No. 156" formation_enthalpy_0k_ev_per_atom=0.293 relative_energy_mev_per_atom=47 pbc="T T T"
Th 0.000 0.000 6.068
Pu 0.000 2.185 3.664
U 1.892 1.092 2.568

12
Lattice="0.819 -5.835 1.993 5.415 -7.127 -3.655 9.944 -3.481 4.065" Properties=species:S:1:pos:R:3 comment="GGA-PBE La6SmHo5, optimized geometry" space_group="P-1, No. 2" formation_enthalpy_0k_ev_per_atom=0.021 pbc="T T T"
Ho 5.120 -3.545 0.137
Sm 0.000 0.000 0.000
La 6.688 -6.784 -0.271
La 1.562 -3.242 -0.418
Ho 7.936 -6.424 3.094
Ho 8.241 -10.018 -0.692
La 14.615 -13.201 2.821
La 11.786 -10.305 -0.150
La 9.490 -9.659 2.673
La 4.392 -6.138 2.553
Ho 11.058 -12.898 2.265
Ho 3.117 -6.481 -0.831

5
Lattice="-2.237 -2.959 4.498 5.349 -1.778 1.491 0.615 4.699 3.396" Properties=species:S:1:pos:R:3 comment="GGA-PBE MgTl3Cl, optimized geometry" raw_formation_energy_ev_per_atom=0.008 space_group="Pm-3m, No. 221" relative_energy_mev_per_atom=36 pbc="T T T"
Mg 1.863 -0.019 4.693
Cl 0.000 0.000 0.000
Tl 0.307 2.349 1.698
Tl -1.118 -1.479 2.249
Tl 2.674 -0.889 0.745

4
Lattice="-2.235 -0.428 -6.144 -1.701 -0.977 6.251 0.802 4.342 4.840" Properties=species:S:1:pos:R:3 comment="GGA-PBE Na2HgAu, optimized geometry" space_group="Immm, No. 71" formation_enthalpy_0k_ev_per_atom=0.063 pbc="T T T"
Au 0.000 0.000 0.000
Hg -0.449 1.683 5.545
Na -0.682 2.554 8.418
Na -0.217 0.811 2.673

4
Lattice="0.142 0.865 -2.377 2.234 -1.159 -0.291 -3.939 -6.901 -2.748" Properties=species:S:1:pos:R:3 comment="GGA-PBE LiTc2Ni, optimized geometry" space_group="P4/mmm, No. 123" formation_enthalpy_0k_ev_per_atom=0.180 relative_energy_mev_per_atom=70 pbc="T T T"
Li 0.203 -1.872 -2.021
Tc -2.039 -3.572 -1.422
Ni -1.767 -5.323 -3.394
Tc -3.869 -6.779 -2.699

5
Lattice="3.776 0.000 0.000 0.000 3.776 0.000 0.000 0.000 3.818" Properties=species:S:1:pos:R:3 comment="GGA-PBE MnZnCo2N, optimized geometry" raw_formation_energy_ev_per_atom=-0.153 space_group="P4/mmm, No. 123" pbc="T T T"
N 0.000 0.000 0.000
Co 0.000 1.888 0.000
Zn 1.888 1.888 1.909
Mn 0.000 0.000 1.909
Co 1.888 0.000 0.000

12
Lattice="-3.721 2.711 3.874 2.257 -2.821 4.142 3.973 6.972 -1.063" Properties=species:S:1:pos:R:3 comment="GGA-PBE ThZnGa3Au, optimized geometry" space_group="Cmcm, No. 63" formation_enthalpy_0k_ev_per_atom=-0.168 pbc="T T T"
Ga -0.218 -0.697 4.951
Th 0.494 5.614 3.555
Ga 2.322 4.966 5.764
Zn 4.066 3.483 3.804
Ga 1.642 -2.053 3.014
Au 2.173 4.061 1.582
Au 0.336 2.801 5.372
Ga 0.615 -0.769 1.128
Th 2.016 1.248 3.399
Ga -1.246 0.587 3.066
Zn -1.556 3.379 3.150
Ga 0.187 1.896 1.189

6
Lattice="2.543 0.000 0.000 1.272 4.861 0.008 0.000 1.615 6.006" Properties=species:S:1:pos:R:3 comment="GGA-PBE ZnFe2, optimized geometry" space_group="Cm, No. 8" formation_enthalpy_0k_ev_per_atom=0.088 pbc="T T T"
Zn 2.543 1.173 2.327
Fe 1.272 2.668 4.042
Fe 1.272 6.456 6.011
Zn 1.272 2.288 0.303
Fe 2.543 4.947 4.299
Fe 2.543 3.786 2.062